SrMn3Au: relaxed, PBE.

abc: 5.060 5.060 5.060
angles: 90.00 90.00 90.00
Last column: magnetic moment on the atom in μB.
Fractional positions:
Sr  0.500  0.500  0.500  -0.06
Mn  0.000  0.500  0.000  4.10
Mn  0.000  0.000  0.500  4.13
Mn  0.500  0.000  0.000  3.89
Au  0.000  0.000  0.000  0.15

Summary:
The formation energy is 581 meV/atom. The calculation puts the total magnetization at 2.5366 μB/atom. The calculation puts the energy relative to the lowest polymorph listed for this composition at 0 meV per atom.